--- one ---
ThBAu: optimized geometry, PBE-GGA.

Structure (extended XYZ):
```
3
Lattice="0.0000 3.1169 3.1169 3.1169 0.0000 3.1169 3.1169 3.1169 0.0000" Properties=species:S:1:pos:R:3 pbc="T T T"
Au 1.5585 1.5585 1.5585
B 0.0000 0.0000 0.0000
Th 4.6754 4.6754 4.6754
```



--- two ---
ThBAu: optimized geometry, PBE-GGA.

Structure (extended XYZ):
```
3
Lattice="0.0000 3.2433 3.2433 3.2433 0.0000 3.2433 3.2433 3.2433 0.0000" Properties=species:S:1:pos:R:3 pbc="T T T"
Au 0.0000 0.0000 0.0000
B 1.6216 1.6216 1.6216
Th 4.8649 4.8649 4.8649
```



It comes down to one, which is 0.547 eV/atom more stable than the next structure.



--- one ---
TlB4Au: optimized geometry, PBE-GGA.

Structure (extended XYZ):
```
6
Lattice="3.0627 0.0000 0.0000 -1.5314 2.6524 0.0000 0.0000 0.0000 9.3193" Properties=species:S:1:pos:R:3 pbc="T T T"
Au 0.0000 0.0000 4.6596
B 1.5314 0.8841 2.6942
B 0.0000 1.7683 2.6942
B 1.5314 0.8841 6.6251
B 0.0000 1.7683 6.6251
Tl 0.0000 0.0000 0.0000
```



--- two ---
TlB4Au: optimized geometry, PBE-GGA.

Structure (extended XYZ):
```
6
Lattice="-1.4970 2.6581 4.7366 1.4970 -2.6581 4.7366 1.4970 2.6581 -4.7366" Properties=species:S:1:pos:R:3 pbc="T T T"
Au 0.0000 0.0000 0.0000
B 0.0000 1.7933 2.3956
B 1.4970 -0.8648 2.3410
B 0.0000 3.5229 2.3956
B 1.4970 0.8648 2.3410
Tl 0.0000 0.0000 4.7366
```



It comes down to one, which is 0.075 eV/atom more stable than the next structure.



--- one ---
TmBAu: optimized geometry, PBE-GGA.

Structure (extended XYZ):
```
3
Lattice="0.0000 2.9678 2.9678 2.9678 0.0000 2.9678 2.9678 2.9678 0.0000" Properties=species:S:1:pos:R:3 pbc="T T T"
Au 1.4839 1.4839 1.4839
B 0.0000 0.0000 0.0000
Tm 4.4517 4.4517 4.4517
```



--- two ---
TmBAu: optimized geometry, PBE-GGA.

Structure (extended XYZ):
```
3
Lattice="0.0000 3.1608 3.1608 3.1608 0.0000 3.1608 3.1608 3.1608 0.0000" Properties=species:S:1:pos:R:3 pbc="T T T"
Au 1.5804 1.5804 1.5804
B 4.7412 4.7412 4.7412
Tm 0.0000 0.0000 0.0000
```



It comes down to one, which is 0.733 eV/atom more stable than the next structure.



--- one ---
TmB4Au: optimized geometry, PBE-GGA.

Structure (extended XYZ):
```
6
Lattice="-4.0065 -2.5888 -1.6096 -3.3010 0.1733 3.7972 2.4298 2.8679 -3.3490" Properties=species:S:1:pos:R:3 pbc="T T T"
Au 0.0000 0.0000 0.0000
B -2.1685 -0.4651 -1.0589
B -2.1243 0.8139 1.7369
B -2.7534 -0.3616 -2.8983
B -2.7091 0.9174 -0.1026
Tm -3.6537 -1.2078 1.0938
```



--- two ---
TmB4Au: optimized geometry, PBE-GGA.

Structure (extended XYZ):
```
6
Lattice="3.2224 0.0000 0.0000 -1.6112 2.7906 0.0000 0.0000 0.0000 7.1740" Properties=species:S:1:pos:R:3 pbc="T T T"
Au 0.0000 0.0000 0.0000
B 1.6112 0.9302 1.7974
B 0.0000 1.8604 1.7974
B 1.6112 0.9302 5.3767
B 0.0000 1.8604 5.3767
Tm 0.0000 0.0000 3.5870
```



It comes down to one, which is 0.124 eV/atom more stable than the next structure.